1.
Entry from the Alexandria database: an optimized crystal structure of Y2Zn3Ni2 (PBE-GGA).

abc: 5.189 5.189 6.936
angles: 111.82 111.82 46.14
Sites, in units of the cell vectors:
1 Y 0.142 0.142 0.271
2 Y 0.858 0.858 0.729
3 Zn 0.363 0.363 0.060
4 Zn 0.500 0.500 0.500
5 Zn 0.637 0.637 0.940
6 Ni 0.136 0.136 0.694
7 Ni 0.864 0.864 0.306

Computed properties:
space-group type	C2/m, No. 12
energy above the most stable polymorph in this dataset	0	meV per atom
energy of formation from the pure elements	-3.0	eV/f.u.
raw total energy	-31.3	eV for the cell shown

---

2.
Entry from the Alexandria database: an optimized crystal structure of InReTeI2 (PBE-GGA).

abc: 5.864 5.864 5.781
angles: 90.00 90.00 90.00
Sites, in units of the cell vectors:
1 In 0.000 0.000 0.000
2 Re 0.500 0.500 0.500
3 Te 0.000 0.000 0.500
4 I 0.000 0.500 0.000
5 I 0.500 0.000 0.000

Computed properties:
energy relative to the elements, uncorrected	1.242	eV per atom
space-group type	P4/mmm, No. 123
energy above the most stable polymorph in this dataset	806	meV per atom
raw total energy	-15.2	eV for the cell shown

---

3.
Entry from the Alexandria database: an optimized crystal structure of SiAsOs2 (PBE-GGA).

abc: 3.008 3.008 6.132
angles: 90.00 90.00 90.00
Sites, in units of the cell vectors:
1 Si 0.000 0.000 0.000
2 As 0.000 0.000 0.500
3 Os 0.500 0.500 0.232
4 Os 0.500 0.500 0.768

Computed properties:
energy relative to the elements, uncorrected	0.044	eV per atom
space-group type	P4/mmm, No. 123
energy above the most stable polymorph in this dataset	5	meV per atom
raw total energy	-32.4	eV for the cell shown

---

4.
Entry from the Alexandria database: an optimized crystal structure of Sn2HgS (PBE-GGA).

abc: 7.846 7.846 7.846
angles: 131.94 131.94 70.32
Sites, in units of the cell vectors:
1 Sn 0.111 0.625 0.986
2 Sn 0.375 0.361 0.486
3 Sn 0.639 0.125 0.014
4 Sn 0.875 0.889 0.514
5 Hg 0.250 0.750 0.500
6 Hg 0.500 0.500 0.000
7 S 0.000 0.000 0.000
8 S 0.750 0.250 0.500

Computed properties:
energy relative to the elements, uncorrected	0.018	eV per atom
space-group type	I-42d, No. 122
energy above the most stable polymorph in this dataset	114	meV per atom
raw total energy	-24.7	eV for the cell shown